No. 1
This record from the Alexandria database describes a geometry-optimized LaCr2F structure. The functional is GGA+U.

The structure in POSCAR format:
```
LaCr2F
1.0
0.000 3.645 3.645
3.645 0.000 3.645
3.645 3.645 0.000
Cr F La
2 1 1
direct
0.250 0.250 0.250
0.750 0.750 0.750
0.000 0.000 0.000
0.500 0.500 0.500
```

total moment	10.0	μB/cell
total DFT energy (no corrections)	-5.2908	eV/atom

---

No. 2
This record from the Alexandria database describes a geometry-optimized LaCrF2 structure. The functional is GGA+U.

The structure in POSCAR format:
```
LaCrF2
1.0
4.622 0.000 0.000
2.311 4.002 0.000
2.311 1.334 3.773
Cr F La
1 2 1
direct
0.000 0.000 0.000
0.250 0.250 0.250
0.750 0.750 0.750
0.500 0.500 0.500
```

total moment	5.0	μB/cell
total DFT energy (no corrections)	-5.8018	eV/atom

---

No. 3
This record from the Alexandria database describes a geometry-optimized LaCrF2 structure. The functional is GGA+U.

The structure in POSCAR format:
```
LaCrF2
1.0
-4.488 2.836 -0.885
-2.920 -3.915 2.260
-2.975 2.610 7.087
Cr F La
2 4 2
direct
0.500 0.500 0.000
0.250 0.750 0.500
0.791 0.125 0.250
0.959 0.625 0.250
0.375 0.209 0.750
0.875 0.041 0.750
0.000 0.000 0.000
0.750 0.250 0.500
```

total moment	2.1	μB/cell
total DFT energy (no corrections)	-5.4241	eV/atom

---

No. 4
This record from the Alexandria database describes a geometry-optimized LaCrF5 structure. The functional is GGA+U.

The structure in POSCAR format:
```
LaCrF5
1.0
-3.033 -5.012 0.668
2.107 -3.750 -4.033
4.597 -5.399 3.577
La Cr F
2 2 10
direct
0.555 0.445 0.750
0.445 0.555 0.250
0.000 0.000 0.000
0.000 0.000 0.500
0.261 0.207 0.879
0.324 0.700 0.532
0.207 0.261 0.379
0.901 0.099 0.750
0.300 0.676 0.968
0.700 0.324 0.032
0.099 0.901 0.250
0.793 0.739 0.621
0.676 0.300 0.468
0.739 0.793 0.121
```

total moment	4.0	μB/cell
total DFT energy (no corrections)	-6.3701	eV/atom

---

No. 5
This record from the Alexandria database describes a geometry-optimized LaCr2F8 structure. The functional is GGA+U.

The structure in POSCAR format:
```
LaCr2F8
1.0
-1.546 3.995 -0.879
-5.929 -2.081 -0.557
0.875 1.344 6.101
Cr F La
2 8 1
direct
0.265 0.384 0.616
0.735 0.616 0.384
0.241 0.587 0.413
0.759 0.413 0.587
0.728 0.809 0.191
0.255 0.134 0.346
0.255 0.654 0.866
0.272 0.191 0.809
0.745 0.866 0.654
0.745 0.346 0.134
0.000 0.000 0.000
```

total moment	7.0	μB/cell
total DFT energy (no corrections)	-6.2984	eV/atom

---

No. 6
This record from the Alexandria database describes a geometry-optimized La2CrF8 structure. The functional is GGA+U.

The structure in POSCAR format:
```
La2CrF8
1.0
3.875 -0.090 -0.902
-0.469 5.276 -1.196
0.029 -1.110 7.718
Cr F La
1 8 2
direct
0.500 0.000 0.000
0.562 0.391 0.179
0.318 0.046 0.650
0.219 0.323 0.446
0.097 0.818 0.070
0.781 0.677 0.554
0.682 0.954 0.350
0.438 0.609 0.821
0.903 0.182 0.930
0.162 0.672 0.335
0.838 0.328 0.665
```

total moment	2.0	μB/cell
total DFT energy (no corrections)	-6.4826	eV/atom